{
  "formula": "La2Y2Tl",
  "functional": "GGA-PBE",
  "state": "relaxed",
  "cell": [[-7.0299, 0.9203, 4.1399], [0.2919, -7.8905, 2.2497], [2.5902, 1.2693, 4.1161]],
  "species": ["Y", "Y", "Y", "Y", "La", "La", "La", "La", "Tl", "Tl"],
  "frac_coords": [[0.1493, 0.3507, 0.0000], [0.6493, 0.1493, 0.0000], [0.8507, 0.6493, 0.0000], [0.3507, 0.8507, 0.0000], [0.1538, 0.6538, 0.5000], [0.6538, 0.8462, 0.5000], [0.8462, 0.3462, 0.5000], [0.3462, 0.1538, 0.5000], [0.5000, 0.5000, 0.0000], [0.0000, 0.0000, 0.0000]],
  "delta_e_f_kj_per_mol_atoms": -4.6,
  "polymorph_energy_kj_per_mol_atoms": 9.0,
  "total_magnetization_mub_per_fu": 0.00,
  "rho_g_cm3": 6.5,
  "space_group": "No. 127"
}